The following is a DFT calculation (PBE+U) of crystalline SiW3F at its relaxed geometry.

Output
The total energy comes out at -4.38 eV per atom. For the energy relative to the lowest polymorph listed for this composition, the calculation gives 0.0 meV per atom.

abc: 4.275 4.275 4.275
angles: 90.00 90.00 90.00
Sites, in units of the cell vectors:
Si (0.500, 0.500, 0.500)
W (0.000, 0.500, 0.000)
W (0.000, 0.000, 0.500)
W (0.500, 0.000, 0.000)
F (0.000, 0.000, 0.000)